8
Lattice="4.571 0.000 0.000 0.000 7.895 0.125 0.000 -2.771 7.550" Properties=species:S:1:pos:R:3 comment="Sr2CeDySb4 GGA-PBE optimized geometry" magmom_total_mub_per_fu=0.00 dos_at_fermi_per_ev_cell=7.027 e_form_raw_mev_per_atom=-976 mass_density_g_cm3=5.85 pbc="T T T"
Sr 2.286 -1.386 3.775
Sr 0.000 2.562 3.837
Ce 0.000 0.000 0.000
Dy 2.286 3.948 0.063
Sb 2.286 1.292 1.716
Sb 2.286 3.832 5.958
Sb 0.000 -0.099 5.896
Sb 0.000 5.223 1.779



9
Lattice="5.321 0.000 0.000 0.000 5.321 0.000 0.000 0.000 11.578" Properties=species:S:1:pos:R:3 comment="TbCe2DySb5 GGA-PBE optimized geometry" magmom_total_mub_per_fu=1.73 dos_at_fermi_per_ev_cell=16.613 e_form_raw_mev_per_atom=-262 mass_density_g_cm3=6.13 pbc="T T T"
Tb 0.000 0.000 5.789
Ce 2.660 2.660 3.322
Ce 2.660 2.660 8.256
Dy 0.000 0.000 0.000
Sb 0.000 2.660 5.789
Sb 2.660 0.000 5.789
Sb 0.000 0.000 8.719
Sb 0.000 0.000 2.858
Sb 2.660 2.660 0.000



8
Lattice="-3.783 -1.777 1.438 2.852 -0.330 7.095 -3.537 6.715 -1.007" Properties=species:S:1:pos:R:3 comment="Tb2CeDySb4 GGA-PBE optimized geometry" magmom_total_mub_per_fu=0.70 dos_at_fermi_per_ev_cell=7.637 e_form_raw_mev_per_atom=-1118 mass_density_g_cm3=7.53 pbc="T T T"
Tb -3.660 2.469 0.215
Tb -0.343 3.193 3.044
Ce -0.465 -1.053 4.267
Dy 0.000 0.000 0.000
Sb -2.070 0.711 2.227
Sb -2.399 3.897 5.299
Sb -1.940 4.937 0.996
Sb 1.255 1.449 5.092



12
Lattice="-6.986 2.096 -2.485 4.769 -3.825 -4.690 -1.991 -5.724 4.754" Properties=species:S:1:pos:R:3 comment="Tb2Ce3DySb6 GGA-PBE optimized geometry" magmom_total_mub_per_fu=2.39 dos_at_fermi_per_ev_cell=20.048 e_form_raw_mev_per_atom=-1095 mass_density_g_cm3=7.25 pbc="T T T"
Tb 0.849 -1.851 -3.955
Tb -3.066 0.121 -3.221
Ce 1.811 -5.698 -1.945
Ce -6.019 -1.755 -0.476
Ce -2.104 -3.727 -1.211
Dy 0.000 0.000 0.000
Sb -5.128 -4.642 -1.438
Sb -2.148 -2.696 -4.211
Sb 0.920 -2.811 -0.983
Sb -1.217 -6.612 -2.172
Sb -2.061 -4.757 1.790
Sb -2.991 -0.841 -0.249



12
Lattice="-1.061 3.127 2.956 -7.087 2.187 -4.858 -2.863 -8.352 4.485" Properties=species:S:1:pos:R:3 comment="Tb3Ce2DySb6 GGA-PBE optimized geometry" magmom_total_mub_per_fu=1.48 dos_at_fermi_per_ev_cell=14.168 e_form_raw_mev_per_atom=-1111 mass_density_g_cm3=7.43 pbc="T T T"
Tb -4.074 2.657 -0.951
Tb -3.966 -2.596 4.644
Tb -7.046 -0.443 -2.061
Ce -7.536 -1.515 2.219
Ce -3.476 -1.524 0.365
Dy -0.531 1.563 1.478
Sb -8.789 -2.521 -0.488
Sb -5.810 0.593 0.609
Sb -2.223 -0.518 3.072
Sb -5.676 -4.663 6.217
Sb -5.335 1.624 -3.633
Sb -5.202 -3.632 1.974



12
Lattice="7.701 -0.001 0.001 -3.849 6.670 0.001 -1.285 -2.224 7.256" Properties=species:S:1:pos:R:3 comment="TbCe3Dy2Sb6 GGA-PBE optimized geometry" magmom_total_mub_per_fu=2.40 dos_at_fermi_per_ev_cell=20.037 e_form_raw_mev_per_atom=-1092 mass_density_g_cm3=7.28 pbc="T T T"
Tb 0.000 0.000 0.000
Ce -2.569 4.448 3.629
Ce 5.137 -0.002 3.629
Ce 1.284 2.223 3.629
Dy 0.000 4.447 0.001
Dy 3.852 2.223 0.001
Sb 3.854 2.218 5.486
Sb 2.566 4.442 1.770
Sb -1.286 2.227 1.771
Sb -0.005 4.446 5.486
Sb 0.002 0.003 5.487
Sb 2.572 -0.001 1.771



12
Lattice="4.427 0.000 0.000 0.000 8.847 0.314 -2.213 -2.549 9.296" Properties=species:S:1:pos:R:3 comment="TbCe2Dy3Sb6 GGA-PBE optimized geometry" magmom_total_mub_per_fu=1.49 dos_at_fermi_per_ev_cell=14.230 e_form_raw_mev_per_atom=-1106 mass_density_g_cm3=7.49 pbc="T T T"
Tb 2.213 0.000 0.000
Ce 2.213 4.207 6.424
Ce 0.000 2.091 3.187
Dy 2.213 4.423 0.157
Dy 2.213 -0.231 6.246
Dy 0.000 6.530 3.364
Sb 0.000 6.447 6.487
Sb 2.213 4.347 3.263
Sb 2.213 -0.149 3.124
Sb 2.213 -0.328 9.345
Sb 0.000 6.626 0.266
Sb 0.000 1.951 6.348



9
Lattice="5.279 0.000 0.000 0.000 5.279 0.000 0.000 0.000 11.809" Properties=species:S:1:pos:R:3 comment="Ce2DyThSb5 GGA-PBE optimized geometry" magmom_total_mub_per_fu=1.81 dos_at_fermi_per_ev_cell=16.971 e_form_raw_mev_per_atom=-262 mass_density_g_cm3=6.48 pbc="T T T"
Ce 2.640 2.640 3.517
Ce 2.640 2.640 8.292
Dy 0.000 0.000 5.904
Th 0.000 0.000 0.000
Sb 0.000 2.640 5.904
Sb 2.640 0.000 5.904
Sb 0.000 0.000 8.856
Sb 0.000 0.000 2.953
Sb 2.640 2.640 0.000



8
Lattice="4.475 0.000 0.000 0.000 7.784 -0.168 0.000 2.726 7.233" Properties=species:S:1:pos:R:3 comment="Ce2DyThSb4 GGA-PBE optimized geometry" magmom_total_mub_per_fu=1.86 dos_at_fermi_per_ev_cell=15.215 e_form_raw_mev_per_atom=-1044 mass_density_g_cm3=7.59 pbc="T T T"
Ce 0.000 2.726 7.233
Ce 2.238 1.363 3.617
Dy 0.000 5.255 3.533
Th 2.238 6.618 7.149
Sb 0.000 7.859 5.272
Sb 4.475 2.652 1.793
Sb 2.238 6.497 1.722
Sb 2.238 4.013 5.344



16
Lattice="-1.855 -6.233 6.196 0.164 -6.355 -6.345 7.058 5.448 1.083" Properties=species:S:1:pos:R:3 comment="Ce3DyTh4Sb8 GGA-PBE optimized geometry" magmom_total_mub_per_fu=2.87 dos_at_fermi_per_ev_cell=26.476 e_form_raw_mev_per_atom=-999 mass_density_g_cm3=8.05 pbc="T T T"
Ce -0.846 -6.294 -0.075
Ce 2.683 -3.571 0.467
Ce 3.611 -0.454 -2.631
Dy 0.082 -3.178 -3.173
Th -0.928 -3.117 3.098
Th 2.601 -0.393 3.639
Th 0.000 0.000 0.000
Th 3.529 2.724 0.542
Sb 6.714 -0.841 -2.121
Sb 3.153 -3.589 -2.667
Sb 3.112 -0.430 0.499
Sb 5.778 -3.986 1.005
Sb -0.411 -3.155 -0.072
Sb 2.254 -6.711 0.435
Sb 2.213 -3.552 3.601
Sb -1.348 -6.300 3.054



8
Lattice="-1.724 -2.725 -2.999 5.118 -5.314 1.887 -6.225 -0.823 4.326" Properties=species:S:1:pos:R:3 comment="CeDy2TmSb4 GGA-PBE optimized geometry" magmom_total_mub_per_fu=0.70 dos_at_fermi_per_ev_cell=6.840 e_form_raw_mev_per_atom=-1091 mass_density_g_cm3=7.72 pbc="T T T"
Ce 1.697 -4.020 -0.556
Dy -3.975 -1.774 0.663
Dy -0.553 -3.068 3.106
Tm 0.000 0.000 0.000
Sb -1.155 -2.875 0.043
Sb -1.675 -5.987 3.170
Sb -3.397 -1.916 3.693
Sb 2.291 -4.221 2.519



12
Lattice="4.421 0.000 0.000 0.000 8.822 0.315 -2.210 -2.540 9.274" Properties=species:S:1:pos:R:3 comment="Ce2Dy3TmSb6 GGA-PBE optimized geometry" magmom_total_mub_per_fu=1.46 dos_at_fermi_per_ev_cell=13.247 e_form_raw_mev_per_atom=-1091 mass_density_g_cm3=7.58 pbc="T T T"
Ce 2.210 4.199 6.418
Ce 0.000 2.083 3.170
Dy 2.210 4.411 0.157
Dy 2.210 -0.226 6.217
Dy 0.000 6.508 3.372
Tm 2.210 0.000 0.000
Sb 0.000 6.433 6.498
Sb 2.210 4.334 3.256
Sb 2.210 -0.151 3.091
Sb 2.210 -0.353 9.313
Sb 0.000 6.636 0.276
Sb 0.000 1.948 6.333



9
Lattice="5.261 0.000 0.000 0.000 5.261 0.000 0.000 0.000 11.535" Properties=species:S:1:pos:R:3 comment="Ce2DyTmSb5 GGA-PBE optimized geometry" magmom_total_mub_per_fu=1.62 dos_at_fermi_per_ev_cell=16.753 e_form_raw_mev_per_atom=-311 mass_density_g_cm3=6.35 pbc="T T T"
Ce 2.630 2.630 3.317
Ce 2.630 2.630 8.218
Dy 0.000 0.000 0.000
Tm 0.000 0.000 5.767
Sb 0.000 2.630 5.767
Sb 2.630 0.000 5.767
Sb 0.000 0.000 8.671
Sb 0.000 0.000 2.864
Sb 2.630 2.630 0.000



12
Lattice="4.425 0.000 0.000 0.000 8.845 0.312 -2.213 -2.551 9.293" Properties=species:S:1:pos:R:3 comment="Ce2Dy3YSb6 GGA-PBE optimized geometry" magmom_total_mub_per_fu=1.49 dos_at_fermi_per_ev_cell=14.384 e_form_raw_mev_per_atom=-1109 mass_density_g_cm3=7.18 pbc="T T T"
Ce 2.213 4.204 6.422
Ce 0.000 2.090 3.183
Dy 2.213 4.422 0.156
Dy 2.213 -0.233 6.242
Dy 0.000 6.527 3.363
Y 2.213 0.000 0.000
Sb 0.000 6.444 6.485
Sb 2.213 4.346 3.260
Sb 2.213 -0.150 3.119
Sb 2.213 -0.334 9.338
Sb 0.000 6.628 0.266
Sb 0.000 1.948 6.344



12
Lattice="7.702 0.000 0.001 -3.850 6.671 0.001 -1.285 -2.225 7.252" Properties=species:S:1:pos:R:3 comment="Ce3DyY2Sb6 GGA-PBE optimized geometry" magmom_total_mub_per_fu=2.41 dos_at_fermi_per_ev_cell=20.022 e_form_raw_mev_per_atom=-1101 mass_density_g_cm3=6.65 pbc="T T T"
Ce -2.565 4.446 3.626
Ce 5.133 0.000 3.626
Ce 1.284 2.223 3.626
Dy 0.000 0.000 0.000
Y 0.002 4.447 0.001
Y 3.851 2.224 0.001
Sb 3.850 2.225 5.484
Sb 2.570 4.450 1.771
Sb -1.282 2.221 1.769
Sb 0.003 4.447 5.484
Sb -0.002 -0.003 5.482
Sb 2.565 -0.001 1.769



12
Lattice="-5.932 -4.544 1.559 4.394 -1.409 -6.081 4.770 -2.184 5.550" Properties=species:S:1:pos:R:3 comment="CeDy2Y3Sb6 GGA-PBE optimized geometry" magmom_total_mub_per_fu=0.66 dos_at_fermi_per_ev_cell=6.248 e_form_raw_mev_per_atom=-1137 mass_density_g_cm3=6.68 pbc="T T T"
Ce 0.000 0.000 0.000
Dy 0.955 -2.453 -3.536
Dy -2.493 -3.500 -0.985
Y 5.072 -3.020 -2.042
Y -1.840 -5.118 3.071
Y 1.616 -4.069 0.514
Sb 0.683 -6.614 2.054
Sb 0.043 -4.994 -1.991
Sb 2.548 -1.524 -1.025
Sb 4.153 -5.561 -0.513
Sb 3.189 -3.144 3.020
Sb -0.921 -2.577 1.542



9
Lattice="5.308 0.000 0.000 0.000 5.308 0.000 0.000 0.000 11.562" Properties=species:S:1:pos:R:3 comment="Ce2DyYSb5 GGA-PBE optimized geometry" magmom_total_mub_per_fu=1.70 dos_at_fermi_per_ev_cell=16.898 e_form_raw_mev_per_atom=-288 mass_density_g_cm3=5.81 pbc="T T T"
Ce 2.654 2.654 3.315
Ce 2.654 2.654 8.247
Dy 0.000 0.000 5.781
Y 0.000 0.000 0.000
Sb 0.000 2.654 5.781
Sb 2.654 0.000 5.781
Sb 0.000 0.000 8.703
Sb 0.000 0.000 2.858
Sb 2.654 2.654 0.000



14
Lattice="6.235 -0.137 -1.536 -1.893 7.604 -1.212 0.199 0.461 7.913" Properties=species:S:1:pos:R:3 comment="CeDySc5 GGA-PBE optimized geometry" magmom_total_mub_per_fu=1.21 dos_at_fermi_per_ev_cell=29.045 ef_ev_per_atom=0.210 mass_density_g_cm3=4.61 pbc="T T T"
Ce 0.000 0.000 0.000
Ce 2.271 3.964 2.582
Dy 4.046 2.620 -0.380
Dy 0.496 5.308 5.544
Sc 1.746 7.111 3.318
Sc 2.557 5.953 -0.178
Sc -0.016 1.410 2.955
Sc 3.695 4.961 5.132
Sc 4.978 2.332 4.030
Sc -0.436 5.596 1.134
Sc 0.847 2.967 0.032
Sc 4.559 6.519 2.209
Sc 1.985 1.975 5.343
Sc 2.796 0.817 1.847



16
Lattice="6.628 -0.844 0.000 -2.561 6.171 0.000 0.000 0.000 10.440" Properties=species:S:1:pos:R:3 comment="CeDySc14 GGA-PBE optimized geometry" magmom_total_mub_per_fu=0.05 dos_at_fermi_per_ev_cell=28.702 ef_ev_per_atom=0.018 mass_density_g_cm3=3.83 pbc="T T T"
Ce 5.122 0.305 0.000
Dy 0.517 3.821 0.000
Sc 0.499 3.834 5.220
Sc 5.095 0.326 5.220
Sc 3.803 3.413 0.000
Sc 3.817 3.408 5.220
Sc 1.777 0.758 0.000
Sc 1.785 0.746 5.220
Sc 2.293 4.592 7.756
Sc 2.293 4.592 2.683
Sc 0.242 1.904 7.756
Sc 0.242 1.904 2.683
Sc -1.044 5.013 7.776
Sc -1.044 5.013 2.663
Sc 3.567 1.492 7.810
Sc 3.567 1.492 2.630



7
Lattice="-2.998 -4.312 0.022 0.196 -0.118 3.546 -8.778 6.098 -1.092" Properties=species:S:1:pos:R:3 comment="CeDy2Sc4 GGA-PBE optimized geometry" magmom_total_mub_per_fu=0.89 polymorph_energy_ev_per_atom=0.143 dos_at_fermi_per_ev_cell=14.126 ef_ev_per_atom=0.198 mass_density_g_cm3=5.42 pbc="T T T"
Ce 0.098 -0.059 1.773
Dy -2.787 -1.260 0.112
Dy -8.794 2.928 2.365
Sc -4.823 0.166 2.053
Sc -5.448 3.799 2.209
Sc -6.757 1.502 0.424
Sc -3.134 2.180 0.246